[1]
The following is a DFT calculation (GGA-PBE) of MgZr2Se after structural relaxation.

## Properties
* formation energy from raw total energies: -0.44 eV/atom
* VASP energy: -71.835 eV per cell
* volume: 22.22 Å³/atom

abc: 3.4749 3.4749 25.4928
angles: 90.00 90.00 120.00
Atoms (fractional coordinates):
Mg 0.0000 0.0000 0.0000
Mg 0.3333 0.6667 0.6667
Mg 0.6667 0.3333 0.3333
Zr 0.0000 0.0000 0.2395
Zr 0.0000 0.0000 0.7605
Zr 0.3333 0.6667 0.4272
Zr 0.3333 0.6667 0.9062
Zr 0.6667 0.3333 0.0938
Zr 0.6667 0.3333 0.5728
Se 0.0000 0.0000 0.5000
Se 0.3333 0.6667 0.1667
Se 0.6667 0.3333 0.8333

***

[2]
The following is a DFT calculation (GGA-PBE) of KZrRh after structural relaxation.

## Properties
* formation energy from the elements: 1612 meV per atom
* VASP energy: -48.650 eV per cell
* volume: 23.20 Å³/atom

abc: 6.5298 6.5298 6.5298
angles: 90.00 90.00 90.00
Atoms (fractional coordinates):
K 0.0000 0.0000 0.0000
K 0.0000 0.5000 0.5000
K 0.5000 0.0000 0.5000
K 0.5000 0.5000 0.0000
Zr 0.2500 0.2500 0.2500
Zr 0.2500 0.7500 0.7500
Zr 0.7500 0.2500 0.7500
Zr 0.7500 0.7500 0.2500
Rh 0.2500 0.2500 0.7500
Rh 0.2500 0.7500 0.2500
Rh 0.7500 0.2500 0.2500
Rh 0.7500 0.7500 0.7500

***

[3]
The following is a DFT calculation (GGA-PBE) of Sc2GaTcAu after structural relaxation.

## Properties
* formation energy from the elements: 320 meV per atom
* VASP energy: -27.733 eV per cell
* volume: 24.32 Å³/atom

abc: 4.8659 4.8659 5.1362
angles: 90.00 90.00 90.00
Atoms (fractional coordinates):
Sc 0.0000 0.5000 0.0000
Sc 0.5000 0.0000 0.0000
Ga 0.0000 0.0000 0.5000
Tc 0.5000 0.5000 0.0000
Au 0.5000 0.5000 0.5000

***

[4]
The following is a DFT calculation (GGA-PBE) of CsKReN3 after structural relaxation.

## Properties
* formation energy from raw total energies: -0.13 eV/atom
* VASP energy: -80.274 eV per cell
* volume: 19.64 Å³/atom

abc: 7.1614 7.1614 5.6410
angles: 92.89 92.89 124.95
Atoms (fractional coordinates):
Cs 0.2436 0.7564 0.7500
Cs 0.7564 0.2436 0.2500
K 0.0833 0.9167 0.2500
K 0.9167 0.0833 0.7500
Re 0.4554 0.5446 0.2500
Re 0.5446 0.4554 0.7500
N 0.2895 0.3262 0.5059
N 0.3158 0.6842 0.2500
N 0.3262 0.2895 0.0059
N 0.6738 0.7105 0.9941
N 0.6842 0.3158 0.7500
N 0.7105 0.6738 0.4941